# 1
Compound: ReNiAs2
Source: the Alexandria database
Functional: PBE
Structure: optimized geometry

Calculated values
DOS at the Fermi energy	2.10	states/eV per cell
energy of formation from the pure elements	0.14	eV per atom
SG	P4/mmm, No. 123
magnetic moment	0.0	μB per cell
distance to the lowest polymorph of the same formula	0.135	eV per atom

```
data_ReNiAs2
_chemical_formula_sum 'Re1 Ni1 As2'
_symmetry_space_group_name_H-M 'P 1'
_symmetry_Int_Tables_number 1
_cell_length_a 3.125
_cell_length_b 3.125
_cell_length_c 5.912
_cell_angle_alpha 90.00
_cell_angle_beta 90.00
_cell_angle_gamma 90.00
loop_
_symmetry_equiv_pos_as_xyz
'x,y,z'
loop_
_atom_site_label
_atom_site_type_symbol
_atom_site_fract_x
_atom_site_fract_y
_atom_site_fract_z
Re1 Re 0.000 0.000 0.000
Ni1 Ni 0.000 0.000 0.500
As1 As 0.500 0.500 0.253
As2 As 0.500 0.500 0.747
```

# 2
Compound: ReNiAs2
Source: the Alexandria database
Functional: PBE
Structure: optimized geometry

Calculated values
DOS at the Fermi energy	1.61	states/eV per cell
energy of formation from the pure elements	0.11	eV per atom
SG	Pmm2, No. 25
magnetic moment	0.0	μB per cell
distance to the lowest polymorph of the same formula	0.105	eV per atom

```
data_ReNiAs2
_chemical_formula_sum 'Re1 Ni1 As2'
_symmetry_space_group_name_H-M 'P 1'
_symmetry_Int_Tables_number 1
_cell_length_a 3.157
_cell_length_b 3.635
_cell_length_c 5.181
_cell_angle_alpha 90.00
_cell_angle_beta 90.00
_cell_angle_gamma 90.00
loop_
_symmetry_equiv_pos_as_xyz
'x,y,z'
loop_
_atom_site_label
_atom_site_type_symbol
_atom_site_fract_x
_atom_site_fract_y
_atom_site_fract_z
Re1 Re 0.000 0.000 0.000
Ni1 Ni 0.500 0.500 0.662
As1 As 0.000 0.000 0.530
As2 As 0.500 0.500 0.172
```

# 3
Compound: ReNiAs2
Source: the Alexandria database
Functional: PBE
Structure: optimized geometry

Calculated values
DOS at the Fermi energy	3.64	states/eV per cell
energy of formation from the pure elements	0.50	eV per atom
SG	P2/m, No. 10
magnetic moment	0.0	μB per cell
distance to the lowest polymorph of the same formula	0.488	eV per atom

```
data_ReNiAs2
_chemical_formula_sum 'Re1 Ni1 As2'
_symmetry_space_group_name_H-M 'P 1'
_symmetry_Int_Tables_number 1
_cell_length_a 3.178
_cell_length_b 4.141
_cell_length_c 4.823
_cell_angle_alpha 90.00
_cell_angle_beta 95.66
_cell_angle_gamma 90.00
loop_
_symmetry_equiv_pos_as_xyz
'x,y,z'
loop_
_atom_site_label
_atom_site_type_symbol
_atom_site_fract_x
_atom_site_fract_y
_atom_site_fract_z
Re1 Re 0.000 0.000 0.000
Ni1 Ni 0.500 0.000 0.500
As1 As 0.170 0.500 0.282
As2 As 0.830 0.500 0.718
```

# 4
Compound: ReNiAs
Source: the Alexandria database
Functional: PBE
Structure: optimized geometry

Calculated values
DOS at the Fermi energy	3.72	states/eV per cell
energy of formation from the pure elements	0.22	eV per atom
SG	Amm2, No. 38
magnetic moment	0.4	μB per cell
distance to the lowest polymorph of the same formula	0.000	eV per atom

```
data_ReNiAs
_chemical_formula_sum 'Re2 Ni2 As2'
_symmetry_space_group_name_H-M 'P 1'
_symmetry_Int_Tables_number 1
_cell_length_a 12.131
_cell_length_b 2.949
_cell_length_c 2.949
_cell_angle_alpha 60.00
_cell_angle_beta 90.00
_cell_angle_gamma 90.00
loop_
_symmetry_equiv_pos_as_xyz
'x,y,z'
loop_
_atom_site_label
_atom_site_type_symbol
_atom_site_fract_x
_atom_site_fract_y
_atom_site_fract_z
Re1 Re 0.163 0.000 0.000
Re2 Re 0.837 0.000 0.000
Ni1 Ni 0.000 0.667 0.667
Ni2 Ni 0.500 0.668 0.668
As1 As 0.313 0.667 0.667
As2 As 0.687 0.667 0.667
```

# 5
Compound: ReNiAs2
Source: the Alexandria database
Functional: PBE
Structure: optimized geometry

Calculated values
DOS at the Fermi energy	2.19	states/eV per cell
energy of formation from the pure elements	0.12	eV per atom
SG	Cm, No. 8
magnetic moment	0.0	μB per cell
distance to the lowest polymorph of the same formula	0.110	eV per atom

```
data_ReNiAs2
_chemical_formula_sum 'Re1 Ni1 As2'
_symmetry_space_group_name_H-M 'P 1'
_symmetry_Int_Tables_number 1
_cell_length_a 4.576
_cell_length_b 4.576
_cell_length_c 4.484
_cell_angle_alpha 103.05
_cell_angle_beta 103.05
_cell_angle_gamma 41.14
loop_
_symmetry_equiv_pos_as_xyz
'x,y,z'
loop_
_atom_site_label
_atom_site_type_symbol
_atom_site_fract_x
_atom_site_fract_y
_atom_site_fract_z
Re1 Re 0.000 0.000 0.000
Ni1 Ni 0.219 0.219 0.617
As1 As 0.488 0.488 0.553
As2 As 0.729 0.729 0.133
```

# 6
Compound: ReNiAs
Source: the Alexandria database
Functional: PBE
Structure: optimized geometry

Calculated values
DOS at the Fermi energy	2.26	states/eV per cell
energy of formation from the pure elements	0.47	eV per atom
SG	Fmm2, No. 42
magnetic moment	0.0	μB per cell
distance to the lowest polymorph of the same formula	0.245	eV per atom

```
data_ReNiAs
_chemical_formula_sum 'Re1 Ni1 As1'
_symmetry_space_group_name_H-M 'P 1'
_symmetry_Int_Tables_number 1
_cell_length_a 6.748
_cell_length_b 6.558
_cell_length_c 2.699
_cell_angle_alpha 82.28
_cell_angle_beta 74.37
_cell_angle_gamma 23.35
loop_
_symmetry_equiv_pos_as_xyz
'x,y,z'
loop_
_atom_site_label
_atom_site_type_symbol
_atom_site_fract_x
_atom_site_fract_y
_atom_site_fract_z
Re1 Re 0.000 0.000 0.000
Ni1 Ni 0.344 0.344 0.656
As1 As 0.683 0.683 0.317
```

# 7
Compound: ReNiAs2
Source: the Alexandria database
Functional: PBE
Structure: optimized geometry

Calculated values
DOS at the Fermi energy	4.08	states/eV per cell
energy of formation from the pure elements	0.14	eV per atom
SG	R-3m, No. 166
magnetic moment	0.0	μB per cell
distance to the lowest polymorph of the same formula	0.127	eV per atom

```
data_ReNiAs2
_chemical_formula_sum 'Re1 Ni1 As2'
_symmetry_space_group_name_H-M 'P 1'
_symmetry_Int_Tables_number 1
_cell_length_a 7.621
_cell_length_b 7.621
_cell_length_c 7.621
_cell_angle_alpha 23.03
_cell_angle_beta 23.03
_cell_angle_gamma 23.03
loop_
_symmetry_equiv_pos_as_xyz
'x,y,z'
loop_
_atom_site_label
_atom_site_type_symbol
_atom_site_fract_x
_atom_site_fract_y
_atom_site_fract_z
Re1 Re 0.000 0.000 0.000
Ni1 Ni 0.500 0.500 0.500
As1 As 0.247 0.247 0.247
As2 As 0.753 0.753 0.753
```

# 8
Compound: ReNi2As2
Source: the Alexandria database
Functional: PBE
Structure: optimized geometry

Calculated values
DOS at the Fermi energy	6.60	states/eV per cell
energy of formation from the pure elements	0.10	eV per atom
SG	P4/mbm, No. 127
magnetic moment	0.0	μB per cell

```
data_ReNi2As2
_chemical_formula_sum 'Re2 Ni4 As4'
_symmetry_space_group_name_H-M 'P 1'
_symmetry_Int_Tables_number 1
_cell_length_a 6.630
_cell_length_b 6.630
_cell_length_c 3.141
_cell_angle_alpha 90.00
_cell_angle_beta 90.00
_cell_angle_gamma 90.00
loop_
_symmetry_equiv_pos_as_xyz
'x,y,z'
loop_
_atom_site_label
_atom_site_type_symbol
_atom_site_fract_x
_atom_site_fract_y
_atom_site_fract_z
Re1 Re 0.000 0.000 0.000
Re2 Re 0.500 0.500 0.000
Ni1 Ni 0.139 0.361 0.500
Ni2 Ni 0.361 0.861 0.500
Ni3 Ni 0.639 0.139 0.500
Ni4 Ni 0.861 0.639 0.500
As1 As 0.156 0.656 0.000
As2 As 0.344 0.156 0.000
As3 As 0.656 0.844 0.000
As4 As 0.844 0.344 0.000
```